Compound: AlCuMo2
Source: Alexandria
Functional: PBE-GGA
Structure: relaxed

Summary:
final energy: -7.22 eV per atom
energy relative to the elements: 154 meV per atom

Lattice parameters (Å, degrees): 4.659 4.659 2.697 90.00 90.00 90.00
Element x y z (fractional)
Mo1 0.000 0.000 0.000
Mo2 0.500 0.500 0.000
Al1 0.500 0.000 0.500
Cu1 0.000 0.500 0.500


Compound: AlCu4Mo
Source: Alexandria
Functional: PBE-GGA
Structure: relaxed

Summary:
final energy: -5.00 eV per atom
energy relative to the elements: 162 meV per atom

Lattice parameters (Å, degrees): 4.832 4.832 4.832 60.00 60.00 60.00
Element x y z (fractional)
Al1 0.000 0.000 0.000
Cu1 0.375 0.875 0.375
Cu2 0.875 0.375 0.375
Cu3 0.375 0.375 0.875
Cu4 0.375 0.375 0.375
Mo1 0.750 0.750 0.750


Compound: AlCuMo2
Source: Alexandria
Functional: PBE-GGA
Structure: relaxed

Summary:
final energy: -7.37 eV per atom
energy relative to the elements: 7 meV per atom

Lattice parameters (Å, degrees): 2.701 2.701 8.421 90.00 90.00 105.59
Element x y z (fractional)
Mo1 0.000 0.000 0.991
Mo2 0.500 0.500 0.256
Al1 0.000 0.000 0.512
Cu1 0.500 0.500 0.740


Question: Among the records above, which one has the lowest final energy?
Answer: number 3


Question: The lowest final energy belongs to which entry?
Answer: number 3


Question: final energy of number 3 (AlCuMo2)?
Answer: -7.37 eV per atom